(1)
# ZnInFe2 (PBE-GGA, relaxed)
# E_form (kJ per mole of atoms): 17.30
data_ZnInFe2
_cell_length_a 3.745
_cell_length_b 3.907
_cell_length_c 8.013
_cell_angle_alpha 90.00
_cell_angle_beta 90.00
_cell_angle_gamma 90.00
_space_group_name_H-M_alt 'I m m m'
_space_group_IT_number 71
_space_group_name_Hall '-I 2 2'
loop_
_atom_site_label
_atom_site_type_symbol
_atom_site_fract_x
_atom_site_fract_y
_atom_site_fract_z
_atom_site_occupancy
Zn1 Zn 0.000 0.000 0.000 1
In1 In 0.000 0.000 0.500 1
Fe1 Fe 0.000 0.500 0.252 1

(2)
# LuTiIrRh (PBE-GGA, relaxed)
# E_form (kJ per mole of atoms): -79.08
data_LuTiIrRh
_cell_length_a 6.468
_cell_length_b 6.468
_cell_length_c 6.468
_cell_angle_alpha 90.00
_cell_angle_beta 90.00
_cell_angle_gamma 90.00
_space_group_name_H-M_alt 'F -4 3 m'
_space_group_IT_number 216
_space_group_name_Hall 'F -4 2 3'
loop_
_atom_site_label
_atom_site_type_symbol
_atom_site_fract_x
_atom_site_fract_y
_atom_site_fract_z
_atom_site_occupancy
Lu1 Lu 0.000 0.000 0.000 1
Ti1 Ti 0.000 0.000 0.500 1
Ir1 Ir 0.250 0.250 0.750 1
Rh1 Rh 0.250 0.250 0.250 1

(3)
# SiOF2 (PBE-GGA, relaxed)
# Formation energy from raw total energies (eV per formula unit): -12.01
# Polymorph energy (0 for the lowest one) (meV/atom): 0
data_SiOF2
_cell_length_a 5.261
_cell_length_b 4.962
_cell_length_c 14.019
_cell_angle_alpha 90.00
_cell_angle_beta 112.01
_cell_angle_gamma 90.00
_space_group_name_H-M_alt 'P 1 21/c 1'
_space_group_IT_number 14
_space_group_name_Hall '-P 2ybc'
loop_
_atom_site_label
_atom_site_type_symbol
_atom_site_fract_x
_atom_site_fract_y
_atom_site_fract_z
_atom_site_occupancy
Si1 Si 0.069 0.000 0.320 1
O1 O 0.097 0.250 0.250 1
F1 F 0.091 0.596 0.110 1
F2 F 0.368 0.597 0.891 1

Copy entry 1 word for word.
# ZnInFe2 (PBE-GGA, relaxed)
# E_form (kJ per mole of atoms): 17.30
data_ZnInFe2
_cell_length_a 3.745
_cell_length_b 3.907
_cell_length_c 8.013
_cell_angle_alpha 90.00
_cell_angle_beta 90.00
_cell_angle_gamma 90.00
_space_group_name_H-M_alt 'I m m m'
_space_group_IT_number 71
_space_group_name_Hall '-I 2 2'
loop_
_atom_site_label
_atom_site_type_symbol
_atom_site_fract_x
_atom_site_fract_y
_atom_site_fract_z
_atom_site_occupancy
Zn1 Zn 0.000 0.000 0.000 1
In1 In 0.000 0.000 0.500 1
Fe1 Fe 0.000 0.500 0.252 1